No. 1
Compound: Cu2BrO
Source: Alexandria via LeMat-Bulk
Functional: GGA-PBE
Structure: optimized geometry

Output
The magnetic moment is 0.00 μB/cell. For the formation energy without anion corrections, the calculation gives -0.34 eV per atom.

Geometry as CIF:
```
data_Cu2BrO
_cell_length_a 3.5918
_cell_length_b 3.5918
_cell_length_c 5.1239
_cell_angle_alpha 90.00
_cell_angle_beta 90.00
_cell_angle_gamma 90.00
_symmetry_space_group_name_H-M 'P -4 m 2'
_symmetry_Int_Tables_number 115
loop_
_symmetry_equiv_pos_as_xyz
'x,y,z'
'y,-x,-z'
'-x,-y,z'
'-y,x,-z'
'-x,y,z'
'-y,-x,-z'
'x,-y,z'
'y,x,-z'
loop_
_atom_site_label
_atom_site_type_symbol
_atom_site_fract_x
_atom_site_fract_y
_atom_site_fract_z
Cu1 Cu 0.0000 0.5000 0.1393
Br1 Br 0.0000 0.0000 0.5000
O1 O 0.5000 0.5000 0.0000
```

No. 2
Compound: PuPClO6
Source: Alexandria via LeMat-Bulk
Functional: GGA-PBE
Structure: optimized geometry

Output
The magnetic moment is 4.06 μB/cell. For the formation energy without anion corrections, the calculation gives -1.42 eV per atom.

Geometry as CIF:
```
data_PuPClO6
_cell_length_a 5.0724
_cell_length_b 8.7835
_cell_length_c 7.1497
_cell_angle_alpha 90.00
_cell_angle_beta 90.12
_cell_angle_gamma 90.00
_symmetry_space_group_name_H-M 'C 1 2 1'
_symmetry_Int_Tables_number 5
loop_
_symmetry_equiv_pos_as_xyz
'x,y,z'
'-x,y,-z'
'x+1/2,y+1/2,z'
'-x+1/2,y+1/2,-z'
loop_
_atom_site_label
_atom_site_type_symbol
_atom_site_fract_x
_atom_site_fract_y
_atom_site_fract_z
Pu1 Pu 0.0000 0.0000 0.0000
P1 P 0.0000 0.3334 0.0000
Cl1 Cl 0.0000 0.6663 0.5000
O1 O 0.1316 0.1906 0.8633
O2 O 0.1479 0.4707 0.8633
O3 O 0.2193 0.8387 0.8633
```

no.,DFT total energy (eV per cell)
1,-16.17
2,-128.17